Record 1
AcCe2SiN5 (PBE, optimized geometry); E_tot = -8.172 eV per atom; formation energy from raw total energies = -1169 meV per atom
1.0
5.745 0.000 0.000
0.000 6.652 0.000
0.000 0.000 6.652
Ac Ce Si N
2 4 2 10
Cartesian
0.000 3.326 3.326
0.000 0.000 0.000
2.872 4.520 1.193
2.872 1.193 2.133
2.872 5.459 4.520
2.872 2.133 5.459
0.000 0.000 3.326
0.000 3.326 0.000
2.872 3.326 3.326
2.872 0.000 0.000
1.282 0.906 4.232
1.282 5.746 2.420
1.282 2.420 0.906
1.282 4.232 5.746
4.463 0.906 4.232
4.463 4.232 5.746
4.463 5.746 2.420
4.463 2.420 0.906



Record 2
TbCe2TaN4 (PBE, optimized geometry); E_tot = -9.162 eV per atom; formation energy from raw total energies = -1455 meV per atom
1.0
-2.850 -1.791 -0.156
3.109 -4.981 0.389
-1.441 1.811 5.520
Tb Ce Ta N
1 2 1 4
Cartesian
0.130 -3.386 0.117
-2.145 0.010 2.682
0.834 -1.585 2.955
0.000 0.000 0.000
-1.057 -1.593 1.202
-0.125 -3.368 4.551
-0.401 0.257 4.369
2.069 -3.427 1.540



Record 3
LiTb2UTe5 (PBE, optimized geometry); E_tot = -5.244 eV per atom; formation energy from raw total energies = -1003 meV per atom
1.0
4.326 0.000 0.000
-2.163 9.230 0.000
0.000 0.000 13.252
Li Tb U Te
2 4 2 10
Cartesian
2.163 1.011 12.743
0.000 8.219 6.117
2.163 6.862 10.582
0.000 1.971 9.081
0.000 2.368 3.956
2.163 7.260 2.455
2.163 5.538 6.735
0.000 3.692 0.109
0.000 6.784 0.009
2.163 3.434 11.155
0.000 9.165 10.352
0.000 5.236 8.901
2.163 8.362 7.619
2.163 2.446 6.635
0.000 5.796 4.529
2.163 0.065 3.726
2.163 3.994 2.275
0.000 0.868 0.993



Record 4
K2CuP (PBE, optimized geometry); E_tot = -2.384 eV per atom; energy of formation = 541 meV per atom
1.0
-3.399 7.349 -6.366
-4.239 4.404 -8.290
-6.492 5.588 -5.720
Cu K P
1 2 1
Cartesian
-3.533 4.335 -5.094
-0.047 0.058 -0.068
-7.018 8.612 -10.119
-10.598 13.005 -15.281



Record 5
CsPuCuBr5 (PBE, optimized geometry); E_tot = -4.732 eV per atom; formation energy from raw total energies = -1277 meV per atom
1.0
8.048 0.076 -0.075
-2.277 7.720 -0.075
-2.489 -3.362 10.026
Cs Pu Cu Br
2 2 2 10
Cartesian
0.702 4.213 2.431
2.580 0.221 7.444
-1.244 -1.681 5.013
0.000 0.000 0.000
4.253 1.585 2.431
-0.970 2.849 7.444
-2.155 6.328 2.431
5.438 -1.895 7.444
6.212 2.050 0.999
-2.929 2.383 8.876
4.379 -0.425 3.863
-1.096 4.859 6.012
3.792 3.428 4.071
-0.510 1.005 5.804
2.355 1.487 0.791
0.928 2.947 9.084



Record 6
Be2VCoRh (PBE, optimized geometry); E_tot = -4.795 eV per atom; energy of formation = 1411 meV per atom
1.0
-1.388 0.438 3.904
3.296 -2.299 1.430
2.251 3.483 0.409
Co Rh Be V
1 1 2 1
Cartesian
2.080 0.811 2.872
1.648 -1.149 0.715
1.125 1.741 0.205
-0.694 0.219 1.952
0.000 0.000 0.000



Record 7
CrNiOs2 (PBE, optimized geometry); E_tot = -9.363 eV per atom; offset from the most stable computed form = 0.030 eV per atom; energy of formation = 103 meV per atom
1.0
-1.928 -1.968 -3.548
3.317 -1.364 -2.704
-0.628 -0.686 4.394
Cr Ni Os
1 1 2
Cartesian
1.692 -1.858 -0.718
-0.931 -2.160 -1.139
0.000 0.000 0.000
0.695 -1.666 -3.126



Record 8
DyMg7Sn4 (PBE, optimized geometry); E_tot = -2.613 eV per atom; energy of formation = 35 meV per atom
1.0
5.717 0.000 0.000
2.858 8.684 -0.320
2.858 0.016 6.316
Dy Mg Sn
1 7 4
Cartesian
0.000 0.000 0.000
8.575 7.839 3.052
2.858 0.861 2.944
2.858 5.585 1.193
8.575 3.115 4.803
5.717 5.089 4.476
2.858 0.000 0.000
5.717 3.611 1.521
5.717 1.989 4.009
5.717 6.711 1.987
8.575 5.948 5.310
2.858 2.752 0.686



Record 9
TlPd6Au2 (PBE, optimized geometry); E_tot = -4.562 eV per atom; energy of formation = -109 meV per atom
1.0
-2.576 -3.042 1.166
-1.359 -3.043 -3.544
5.132 -7.119 0.165
Tl Pd Au
1 6 2
Cartesian
1.886 -5.081 -1.689
2.152 -10.965 -1.660
-0.955 -2.238 -0.552
-0.312 -3.675 -2.881
-0.163 -6.625 -2.848
1.509 -9.528 0.669
1.359 -6.578 0.636
2.094 -8.104 -1.721
-0.897 -5.099 -0.491



Record 10
Y2Nb2Zn (PBE, optimized geometry); E_tot = -6.634 eV per atom; energy of formation = 234 meV per atom
1.0
7.135 0.000 0.000
0.000 7.135 0.000
0.000 0.000 4.537
Y Nb Zn
4 4 2
Cartesian
1.223 4.791 2.268
4.791 5.912 2.268
5.912 2.345 2.268
2.345 1.223 2.268
2.627 6.195 0.000
6.195 4.508 0.000
4.508 0.940 0.000
0.940 2.627 0.000
0.000 0.000 0.000
3.568 3.568 0.000



Record 11
Pr2Al4IrPt3 (PBE, optimized geometry); E_tot = -6.218 eV per atom; energy of formation = -1067 meV per atom
1.0
4.290 0.000 0.000
0.000 4.290 0.000
0.000 0.000 10.414
Pr Al Ir Pt
2 4 1 3
Cartesian
2.145 0.000 2.638
0.000 2.145 7.776
2.145 2.145 0.000
0.000 0.000 0.000
2.145 0.000 6.513
0.000 2.145 3.900
2.145 2.145 5.207
0.000 0.000 5.207
2.145 0.000 9.033
0.000 2.145 1.381



Record 12
Y2ZnRe (PBE, optimized geometry); E_tot = -6.680 eV per atom; energy of formation = -18 meV per atom
1.0
3.505 0.000 0.000
0.000 3.505 0.000
0.000 0.000 7.146
Re Y Zn
1 2 1
Cartesian
1.752 1.752 5.360
0.000 0.000 7.013
0.000 0.000 3.706
1.752 1.752 1.787